Record 1
Entry from Alexandria via LeMat-Bulk: an optimized crystal structure of TbHg3Pt8 (GGA-PBE).

Cell lengths 5.399, 5.399, 9.346 Å; angles 73.21, 73.21, 60.00 degrees
Atoms (fractional coordinates):
Pt 0.688 0.688 0.937
Pt 0.936 0.438 0.189
Tb 0.876 0.876 0.372
Hg 0.497 0.497 0.509
Pt 0.938 0.438 0.685
Pt 0.438 0.938 0.685
Pt 0.188 0.188 0.437
Hg 0.001 0.001 0.996
Pt 0.438 0.936 0.189
Pt 0.938 0.938 0.685
Hg 0.374 0.374 0.877
Pt 0.438 0.438 0.189

Space group: R3m (160)
DOS at the Fermi energy in states/eV per atom: 1.016
Total magnetic moment in μB per formula unit: 0.00
Energy in eV for the cell shown: -57.6
Mass density in kg/m3: 17332

***

Record 2
Entry from Alexandria via LeMat-Bulk: an optimized crystal structure of AlPdO2 (GGA-PBE).

Cell lengths 10.556, 10.556, 2.978 Å; angles 90.00, 90.00, 165.35 degrees
Atoms (fractional coordinates):
O 0.124 0.876 0.750
Pd 0.949 0.051 0.750
Pd 0.051 0.949 0.250
O 0.214 0.786 0.250
O 0.786 0.214 0.750
Al 0.310 0.690 0.250
O 0.876 0.124 0.250
Al 0.690 0.310 0.750

Space group: Cmcm (63)
DOS at the Fermi energy in states/eV per atom: 0.428
Total magnetic moment in μB per formula unit: 0.00
Energy in eV for the cell shown: -50.0
Formation energy from raw total energies in eV per atom: -1.54
Mass density in kg/m3: 6547

***

Which formula does entry 1 have? TbHg3Pt8

***

What is the total magnetic moment in the first record? 0.00 μB per formula unit

***

The highest mass density belongs to which entry? TbHg3Pt8